(1)
{"formula": "Pr3CdSb2", "functional": "PBE", "state": "optimized geometry", "dft_energy_ev_per_fu": -28.24, "n_ef_per_ev_cell": 11.6, "cell": [[7.2581, -3.2070, 0.0000], [7.2581, 3.2070, 0.0000], [-2.8520, 0.0000, 8.6427]], "species": ["Pr", "Pr", "Pr", "Pr", "Pr", "Pr", "Cd", "Cd", "Sb", "Sb", "Sb", "Sb"], "frac_coords": [[0.9997, 0.0003, 0.2500], [0.0003, 0.9997, 0.7500], [0.3201, 0.3198, 0.4100], [0.3198, 0.3201, 0.9100], [0.6802, 0.6799, 0.0900], [0.6799, 0.6802, 0.5900], [0.4996, 0.5004, 0.2500], [0.5004, 0.4996, 0.7500], [0.1632, 0.1629, 0.0817], [0.1629, 0.1632, 0.5817], [0.8371, 0.8368, 0.4183], [0.8368, 0.8371, 0.9183]]}

=====

(2)
{"formula": "Pr12Cd6Sb", "functional": "PBE", "state": "optimized geometry", "dft_energy_ev_per_fu": -70.37, "n_ef_per_ev_cell": 23.9, "cell": [[5.8846, 3.3975, 4.8978], [-5.8846, 3.3975, 4.8978], [0.0000, -6.7949, 4.8978]], "species": ["Pr", "Pr", "Pr", "Pr", "Pr", "Pr", "Pr", "Pr", "Pr", "Pr", "Pr", "Pr", "Cd", "Cd", "Cd", "Cd", "Cd", "Cd", "Sb"], "frac_coords": [[0.0273, 0.3064, 0.9459], [0.0541, 0.9727, 0.6936], [0.1294, 0.3550, 0.4783], [0.3064, 0.9459, 0.0273], [0.3550, 0.4783, 0.1294], [0.4783, 0.1294, 0.3550], [0.5217, 0.8706, 0.6450], [0.6450, 0.5217, 0.8706], [0.6936, 0.0541, 0.9727], [0.8706, 0.6450, 0.5217], [0.9459, 0.0273, 0.3064], [0.9727, 0.6936, 0.0541], [0.2344, 0.7651, 0.3872], [0.2349, 0.6128, 0.7656], [0.3872, 0.2344, 0.7651], [0.6128, 0.7656, 0.2349], [0.7651, 0.3872, 0.2344], [0.7656, 0.2349, 0.6128], [0.5000, 0.5000, 0.5000]]}

=====

(3)
{"formula": "PrCdSb2", "functional": "PBE", "state": "optimized geometry", "n_ef_per_ev_cell": 4.5, "e_above_lowest_polymorph_mev_per_atom": 0, "cell": [[4.4496, 0.0000, 0.0000], [0.0000, 4.4496, 0.0000], [0.0000, 0.0000, 11.1934]], "species": ["Pr", "Pr", "Cd", "Cd", "Sb", "Sb", "Sb", "Sb"], "frac_coords": [[0.2500, 0.2500, 0.2220], [0.7500, 0.7500, 0.7780], [0.2500, 0.7500, 0.5000], [0.7500, 0.2500, 0.5000], [0.2500, 0.2500, 0.6975], [0.2500, 0.7500, 0.0000], [0.7500, 0.2500, 0.0000], [0.7500, 0.7500, 0.3025]]}

=====

(4)
{"formula": "PrCd2Sb", "functional": "PBE", "state": "optimized geometry", "dft_energy_ev_per_fu": -12.77, "n_ef_per_ev_cell": 1.5, "cell": [[4.5444, 0.0000, 0.0000], [0.0000, 4.5444, 0.0000], [0.0000, 0.0000, 5.1460]], "species": ["Pr", "Cd", "Cd", "Sb"], "frac_coords": [[0.0000, 0.0000, 0.0000], [0.0000, 0.5000, 0.5000], [0.5000, 0.0000, 0.5000], [0.5000, 0.5000, 0.0000]]}